# LiMn2F6 (GGA+U, relaxed)
# calculated volume = 14.1 A^3/atom
# electronic total energy = -51.610 eV for the cell shown
data_LiMn2F6
_cell_length_a 5.2060
_cell_length_b 5.3227
_cell_length_c 5.7860
_cell_angle_alpha 93.70
_cell_angle_beta 114.16
_cell_angle_gamma 114.93
_symmetry_space_group_name_H-M 'P 1'
_symmetry_Int_Tables_number 1
loop_
_symmetry_equiv_pos_as_xyz
'x,y,z'
loop_
_atom_site_label
_atom_site_type_symbol
_atom_site_fract_x
_atom_site_fract_y
_atom_site_fract_z
Li1 Li 0.0000 0.0000 0.0000
Mn1 Mn 0.0833 0.4847 0.5520
Mn2 Mn 0.4729 0.7056 0.1381
F1 F 0.0433 0.3119 0.8605
F2 F 0.2476 0.8666 0.9049
F3 F 0.3122 0.7577 0.3659
F4 F 0.5921 0.6451 0.8726
F5 F 0.6590 0.5064 0.3453
F6 F 0.9224 0.0958 0.2969